# 1
{
  "formula": "Th8Tc3Te4Se",
  "functional": "GGA-PBE",
  "state": "optimized geometry",
  "e_form_raw_ev_per_atom": -0.800,
  "crystal_system": "trigonal",
  "space_group": "R-3m, No. 166",
  "lattice_angstrom": [[-6.702, 4.628, -2.461], [0.453, -3.721, -8.231], [-0.648, -5.190, 6.711]],
  "species": ["Th", "Th", "Th", "Th", "Th", "Th", "Th", "Th", "Tc", "Tc", "Tc", "Te", "Te", "Te", "Te", "Se"],
  "frac_coords": [[0.246, 0.704, 0.959], [0.246, 0.704, 0.491], [0.266, 0.297, 0.531], [0.713, 0.704, 0.959], [0.287, 0.296, 0.041], [0.734, 0.703, 0.469], [0.754, 0.296, 0.509], [0.754, 0.296, 0.041], [0.500, 0.500, 0.000], [0.500, 0.500, 0.500], [0.000, 0.500, 0.500], [0.500, 0.000, 0.000], [0.500, 0.000, 0.500], [0.000, 0.000, 0.000], [0.000, 0.000, 0.500], [0.000, 0.500, 0.000]]
}

# 2
{
  "formula": "Sm2Dy9Tl",
  "functional": "GGA-PBE",
  "state": "optimized geometry",
  "formation_enthalpy_0k_ev_per_atom": -0.037,
  "crystal_system": "tetragonal",
  "space_group": "P4/mmm, No. 123",
  "lattice_angstrom": [[4.951, 0.000, 0.000], [0.000, 4.951, 0.000], [0.000, 0.000, 15.151]],
  "species": ["Sm", "Sm", "Dy", "Dy", "Dy", "Dy", "Dy", "Dy", "Dy", "Dy", "Dy", "Tl"],
  "frac_coords": [[0.000, 0.000, 0.333], [0.000, 0.000, 0.667], [0.500, 0.500, 0.000], [0.500, 0.500, 0.328], [0.500, 0.500, 0.672], [0.500, 0.000, 0.162], [0.500, 0.000, 0.500], [0.500, 0.000, 0.838], [0.000, 0.500, 0.162], [0.000, 0.500, 0.500], [0.000, 0.500, 0.838], [0.000, 0.000, 0.000]]
}

Number 1: D(E_F) 0.748 states/eV per atom. Number 2: D(E_F) 1.261 states/eV per atom.